## KTl4Pb15 (PBE-GGA)

Data for a relaxed KTl4Pb15 crystal.

For the total energy, the calculation gives -0.1216 hartree per atom.

The structure belongs to space group P4/mmm (No. 123); the cell edges are 5.0291, 5.0291 and 24.9813 Å and the angles 90.00°, 90.00° and 90.00°. The distinct sites, in fractional coordinates, are K at (0.0000, 0.0000, 0.0000), Tl at (0.0000, 0.0000, 0.2022), Tl at (0.0000, 0.0000, 0.4004), Pb at (0.0000, 0.5000, 0.1037), Pb at (0.0000, 0.5000, 0.3000), Pb at (0.0000, 0.5000, 0.5000), Pb at (0.5000, 0.5000, 0.0000), Pb at (0.5000, 0.5000, 0.2024) and Pb at (0.5000, 0.5000, 0.4004).

## K5Tl6Pb (PBE-GGA)

Data for a relaxed K5Tl6Pb crystal.

For the total energy, the calculation gives -0.0739 hartree per atom.

The structure belongs to space group C2/m (No. 12); the cell edges are 5.5209, 15.7645 and 10.6896 Å and the angles 90.00°, 90.15° and 90.00°. The distinct sites, in fractional coordinates, are K at (0.0000, 0.0000, 0.0000), K at (0.0000, 0.3289, 0.0000), K at (0.0000, 0.3368, 0.5000), Tl at (0.9996, 0.1254, 0.2655), Tl at (0.9995, 0.5000, 0.2425) and Pb at (0.0000, 0.0000, 0.5000).

## K2TlPb (PBE-GGA)

Data for a relaxed K2TlPb crystal.

The energy above the most stable polymorph in this dataset is 114 meV/atom. For the total energy, the calculation gives -0.0763 hartree per atom.

The structure belongs to space group Pmmm (No. 47); the cell edges are 3.5270, 5.5120 and 7.6963 Å and the angles 90.00°, 90.00° and 90.00°. The distinct sites, in fractional coordinates, are K at (0.0000, 0.0000, 0.2427), Tl at (0.5000, 0.5000, 0.5000) and Pb at (0.5000, 0.5000, 0.0000).

| no. | formation energy (meV/atom) | DOS(E_F) (states/eV per atom) |
| --- | --- | --- |
| 1 | 1 | 0.6538 |
| 2 | -60 | 0.5507 |
| 3 | -9 | 0.7795 |